Compound: NpCrCo2O8
Source: Alexandria via LeMat-Bulk
Functional: PBE with a Hubbard U
Structure: relaxed

As for the space group: No. 119. The total moment comes out at 5.0 μB per formula unit. The electronic total energy comes out at -87.721 eV per cell.

abc: 5.7156 5.7156 5.7156
angles: 110.61 110.61 107.22
With the nearest neighbours (Å) after each atom.
Atoms (fractional coordinates):
Np (0.0000, 0.0000, 0.0000)  4 O 1.97
Cr (0.7500, 0.2500, 0.5000)  4 O 2.00
Co (0.2500, 0.7500, 0.5000)  4 O 1.90
Co (0.5000, 0.5000, 0.0000)  4 O 1.82
O (0.0461, 0.3457, 0.2996)  1 Co 1.90, 1 Np 1.97
O (0.0461, 0.7465, 0.7004)  1 Co 1.90, 1 Np 1.97
O (0.1119, 0.3111, 0.8007)  1 Co 1.82, 1 Cr 2.00
O (0.2535, 0.9539, 0.2996)  1 Co 1.90, 1 Np 1.97
O (0.5104, 0.3111, 0.1993)  1 Co 1.82, 1 Cr 2.00
O (0.6543, 0.9539, 0.7004)  1 Co 1.90, 1 Np 1.97
O (0.6889, 0.4896, 0.8007)  1 Co 1.82, 1 Cr 2.00
O (0.6889, 0.8881, 0.1993)  1 Co 1.82, 1 Cr 2.00